No. 1
First-principles (GGA-PBE) data for a relaxed RbGe2 crystal, as listed in the Alexandria database.

Cell: 3.5365 3.5365 13.1644 Å, 90.00 90.00 90.00°
Closest atoms and distances in Å follow each position.
Space group I4/mmm (No. 139)
Symmetry-distinct sites (fractional):
Rb  0.0000  0.0000  0.0000 [2 per cell]  4 Rb 3.54, 10 Ge 3.66-3.90
Ge  0.0000  0.0000  0.2966 [4 per cell]  4 Ge 2.79

Calculated values
Energy of formation in eV per atom: 0.095
Volume in Å³/atom: 27.4

=====

No. 2
First-principles (GGA-PBE) data for a relaxed RbGe crystal, as listed in the Alexandria database.

Cell: 13.4747 13.4747 4.1422 Å, 90.00 90.00 120.00°
Closest atoms and distances in Å follow each position.
Space group P6_3/mmc (No. 194)
Symmetry-distinct sites (fractional):
Rb  0.2275  0.4550  0.2500 [6 per cell]  6 Ge 3.57-3.97
Ge  0.0595  0.5297  0.7500 [6 per cell]  2 Ge 2.49

Calculated values
Energy of formation in eV per atom: -0.047
Volume in Å³/atom: 54.3

=====

The calculation returns the following magnetic moment values, one per record and in order: 0.00 0.00 μB/f.u..
The calculation returns the following energy above the most stable polymorph in this dataset values, one per record and in order: 0 141 meV per atom.